1.
Entry from the Alexandria database: a geometry-optimized Sm4SnAu7 structure (PBE-GGA).

abc: 14.5512 5.1846 9.1689
angles: 90.00 122.00 90.00
Last column: nearest neighbours and their distance in Å.
Space group C2/m (No. 12)
Asymmetric unit:
Sm 0.0572 0.0000 0.2355 [4 per cell]  6 Au 2.95-3.12
Sm 0.2364 0.0000 0.7544 [4 per cell]  8 Au 2.96-3.29
Sn 0.0000 0.5000 0.5000 [2 per cell]  4 Au 2.59-2.87
Au 0.0000 0.0000 0.5000 [2 per cell]  2 Sn 2.59
Au 0.0836 0.5000 0.8680 [4 per cell]  1 Sn 2.92, 3 Au 3.02-3.09, 3 Sm 3.04-3.12
Au 0.1826 0.0000 0.0547 [4 per cell]  5 Sm 3.00-3.24, 3 Au 3.02-3.09
Au 0.2000 0.5000 0.5084 [4 per cell]  1 Sn 2.87, 2 Sm 3.00-3.03, 2 Au 3.02

Calculated values
For the calculated formation energy, the calculation gives -636 meV per atom. As for the total energy: -4.454 eV/atom. The mass density is 11.88 g cm⁻³. The value obtained for the density of states at the Fermi level is 5.7 states/eV/f.u.

=====

2.
Entry from the Alexandria database: a geometry-optimized SmSnAu6 structure (PBE-GGA).

abc: 5.5050 5.5050 5.5050
angles: 90.00 90.00 90.00
Last column: nearest neighbours and their distance in Å.
Space group Pm-3 (No. 200)
Asymmetric unit:
Sm 0.0000 0.0000 0.0000 [1 per cell]  12 Au 3.08
Sn 0.5000 0.5000 0.5000 [1 per cell]  12 Au 3.08
Au 0.0000 0.2509 0.5000 [6 per cell]  2 Au 2.74-2.76

Calculated values
For the calculated formation energy, the calculation gives -313 meV per atom. As for the total energy: -3.862 eV/atom. The mass density is 14.44 g cm⁻³. The value obtained for the density of states at the Fermi level is 3.8 states/eV/f.u.

=====

3.
Entry from the Alexandria database: a geometry-optimized Sm2SnAu6 structure (PBE-GGA).

abc: 11.3369 6.5460 5.4124
angles: 90.00 90.02 90.00
Last column: nearest neighbours and their distance in Å.
Space group C2/m (No. 12)
Asymmetric unit:
Sm 0.1665 0.0000 0.3251 [4 per cell]  12 Au 3.13-3.38
Sn 0.0000 0.5000 0.5000 [2 per cell]  6 Au 2.75-2.76
Au 0.0941 0.2168 0.8224 [8 per cell]  1 Sn 2.76, 4 Au 2.84-2.89
Au 0.1886 0.5000 0.1815 [4 per cell]  1 Sn 2.75, 4 Au 2.84-2.89

Calculated values
For the calculated formation energy, the calculation gives -602 meV per atom. As for the total energy: -4.281 eV/atom. The mass density is 13.24 g cm⁻³. The value obtained for the density of states at the Fermi level is 1.7 states/eV/f.u.

=====

4.
Entry from the Alexandria database: a geometry-optimized SmSnAu structure (PBE-GGA).

abc: 3.5948 3.5948 11.5588
angles: 90.00 90.00 90.00
Last column: nearest neighbours and their distance in Å.
Space group I4mm (No. 107)
Asymmetric unit:
Sm 0.0000 0.0000 0.0000 [2 per cell]  4 Au 3.07, 4 Sn 3.43
Sn 0.0000 0.0000 0.3013 [2 per cell]  4 Au 3.09, 4 Sm 3.43
Au 0.0000 0.0000 0.6489 [2 per cell]  4 Sm 3.07, 4 Sn 3.09

Calculated values
For the calculated formation energy, the calculation gives -575 meV per atom. As for the total energy: -4.575 eV/atom. The mass density is 10.36 g cm⁻³. The value obtained for the density of states at the Fermi level is 1.8 states/eV/f.u.

=====

5.
Entry from the Alexandria database: a geometry-optimized SmSnAu4 structure (PBE-GGA).

abc: 10.4486 8.0198 6.6994
angles: 90.00 105.38 90.00
Last column: nearest neighbours and their distance in Å.
Space group C2/m (No. 12)
Asymmetric unit:
Sm 0.1557 0.0000 0.2527 [4 per cell]  8 Au 3.10-3.29, 1 Sn 3.31
Sn 0.1039 0.5000 0.3112 [4 per cell]  7 Au 2.83-2.97
Au 0.0000 0.2345 0.5000 [4 per cell]  4 Au 2.80-2.92, 2 Sn 2.84
Au 0.1217 0.3185 0.9324 [8 per cell]  6 Au 2.79-3.04, 2 Sn 2.88-2.97
Au 0.1461 0.0000 0.7798 [4 per cell]  6 Au 2.79-3.04, 1 Sn 2.83, 1 Sm 3.10

Calculated values
For the calculated formation energy, the calculation gives -398 meV per atom. As for the total energy: -4.037 eV/atom. The mass density is 12.97 g cm⁻³. The value obtained for the density of states at the Fermi level is 3.3 states/eV/f.u.

=====

6.
Entry from the Alexandria database: a geometry-optimized Sm4Sn3Au structure (PBE-GGA).

abc: 4.4368 4.4442 11.5804
angles: 90.00 90.00 90.00
Last column: nearest neighbours and their distance in Å.
Space group Pmm2 (No. 25)
Asymmetric unit:
Sm 0.0000 0.0000 0.0000 [1 per cell]  1 Au 3.10, 4 Sn 3.21
Sm 0.0000 0.5000 0.4871 [1 per cell]  5 Sn 3.19, 2 Au 3.37
Sm 0.5000 0.0000 0.7167 [1 per cell]  7 Sn 3.18-3.45
Sm 0.5000 0.5000 0.2205 [1 per cell]  4 Au 3.19, 3 Sn 3.20-3.36
Sn 0.0000 0.5000 0.7626 [1 per cell]  2 Sn 3.06, 5 Sm 3.18-3.19
Sn 0.5000 0.0000 0.4377 [1 per cell]  2 Au 2.97, 5 Sm 3.19-3.23
Sn 0.5000 0.5000 0.9442 [1 per cell]  2 Sn 3.06, 5 Sm 3.20-3.21
Au 0.0000 0.0000 0.2678 [1 per cell]  2 Sn 2.97, 5 Sm 3.10-3.19

Calculated values
For the calculated formation energy, the calculation gives -758 meV per atom. As for the total energy: -5.028 eV/atom. The mass density is 8.40 g cm⁻³. The value obtained for the density of states at the Fermi level is 6.1 states/eV/f.u.

=====

7.
Entry from the Alexandria database: a geometry-optimized Sm3SnAu structure (PBE-GGA).

abc: 5.8339 6.7461 7.5248
angles: 90.00 102.75 90.00
Last column: nearest neighbours and their distance in Å.
Space group P2_1/m (No. 11)
Asymmetric unit:
Sm 0.1439 0.2500 0.1298 [2 per cell]  2 Au 3.04-3.07, 1 Sn 3.32
Sm 0.3125 0.0144 0.6693 [4 per cell]  2 Au 2.98-3.15, 1 Sm 3.18, 2 Sn 3.26-3.27
Sn 0.1651 0.7500 0.2978 [2 per cell]  1 Au 2.89
Au 0.3940 0.7500 0.9949 [2 per cell]  1 Sn 2.89, 6 Sm 2.98-3.15

Calculated values
For the calculated formation energy, the calculation gives -577 meV per atom. As for the total energy: -4.864 eV/atom. The mass density is 8.82 g cm⁻³. The value obtained for the density of states at the Fermi level is 5.2 states/eV/f.u.

=====

8.
Entry from the Alexandria database: a geometry-optimized SmSnAu4 structure (PBE-GGA).

abc: 4.6170 7.3772 7.8030
angles: 90.00 98.72 90.00
Last column: nearest neighbours and their distance in Å.
Space group P2_1/m (No. 11)
Asymmetric unit:
Sm 0.1030 0.2500 0.3424 [2 per cell]  10 Au 3.08-3.22, 1 Sn 3.28
Sn 0.0830 0.7500 0.2678 [2 per cell]  6 Au 2.77-2.87
Au 0.0000 0.0000 0.0000 [2 per cell]  2 Sn 2.77, 4 Au 3.00-3.01
Au 0.3996 0.0311 0.6646 [4 per cell]  2 Sn 2.86-2.87, 2 Au 2.90-2.92, 3 Sm 3.10-3.12
Au 0.4805 0.7500 0.9301 [2 per cell]  6 Au 2.92-3.01, 2 Sm 3.08-3.17

Calculated values
For the calculated formation energy, the calculation gives -425 meV per atom. As for the total energy: -4.063 eV/atom. The mass density is 13.36 g cm⁻³. The value obtained for the density of states at the Fermi level is 2.9 states/eV/f.u.